A geometry-optimized RbPa2ZnS5 structure, computed with PBE.

Computed properties:
**E_tot**: -6.011 eV/atom
**Space-group type**: No. 140

a = 8.9174 Å, b = 8.9174 Å, c = 8.9174 Å
α = 129.15°, β = 129.15°, γ = 74.76°
Element x y z (fractional)
1 Rb 0.2500 0.2500 0.0000
2 Rb 0.7500 0.7500 0.0000
3 Pa 0.1593 0.6593 0.8187
4 Pa 0.3407 0.1593 0.5000
5 Pa 0.6593 0.8407 0.5000
6 Pa 0.8407 0.3407 0.1813
7 Zn 0.2500 0.7500 0.5000
8 Zn 0.7500 0.2500 0.5000
9 S 0.0000 0.0000 0.0000
10 S 0.0193 0.2324 0.5000
11 S 0.2324 0.7324 0.2131
12 S 0.2676 0.4807 0.5000
13 S 0.4807 0.9807 0.2131
14 S 0.5000 0.5000 0.0000
15 S 0.5193 0.0193 0.7869
16 S 0.7324 0.5193 0.5000
17 S 0.7676 0.2676 0.7869
18 S 0.9807 0.7676 0.5000

A geometry-optimized Rb2PaZnS4 structure, computed with PBE.

Computed properties:
**E_tot**: -4.770 eV/atom
**Space-group type**: No. 70

a = 14.4877 Å, b = 12.9508 Å, c = 7.8559 Å
α = 84.49°, β = 62.85°, γ = 32.67°
Element x y z (fractional)
1 Rb 0.0561 0.0561 0.6939
2 Rb 0.3061 0.3061 0.9439
3 Rb 0.6939 0.6939 0.0561
4 Rb 0.9439 0.9439 0.3061
5 Pa 0.1250 0.1250 0.1250
6 Pa 0.8750 0.8750 0.8750
7 Zn 0.3750 0.3750 0.3750
8 Zn 0.6250 0.6250 0.6250
9 S 0.0056 0.3464 0.4435
10 S 0.2955 0.5565 0.6536
11 S 0.3464 0.0056 0.7045
12 S 0.4435 0.7045 0.0056
13 S 0.5565 0.2955 0.9944
14 S 0.6536 0.9944 0.2955
15 S 0.7045 0.4435 0.3464
16 S 0.9944 0.6536 0.5565

A geometry-optimized RbZrPa2S8 structure, computed with PBE.

Computed properties:
**E_tot**: -6.381 eV/atom
**Space-group type**: No. 10

a = 6.2224 Å, b = 8.4747 Å, c = 6.4152 Å
α = 90.00°, β = 91.62°, γ = 90.00°
Element x y z (fractional)
1 Rb 0.0000 0.0000 0.0000
2 Zr 0.0000 0.5000 0.0000
3 Pa 0.5000 0.2485 0.5000
4 Pa 0.5000 0.7515 0.5000
5 S 0.2306 0.2975 0.1922
6 S 0.2306 0.7025 0.1922
7 S 0.2859 0.0000 0.6212
8 S 0.2907 0.5000 0.6899
9 S 0.7093 0.5000 0.3101
10 S 0.7141 0.0000 0.3788
11 S 0.7694 0.2975 0.8078
12 S 0.7694 0.7025 0.8078

A geometry-optimized RbPaSb2 structure, computed with PBE.

Computed properties:
**E_tot**: -5.056 eV/atom
**Space-group type**: No. 123
**Relative energy among the computed polymorphs**: 66 meV per atom

a = 3.9405 Å, b = 3.9405 Å, c = 8.6747 Å
α = 90.00°, β = 90.00°, γ = 90.00°
Element x y z (fractional)
1 Rb 0.0000 0.0000 0.0000
2 Pa 0.0000 0.0000 0.5000
3 Sb 0.5000 0.5000 0.3115
4 Sb 0.5000 0.5000 0.6885